1.
GGA-PBE LaCr5, relaxed; magnetic moment = 0.043 Bohr magnetons per cell; calculated volume = 15.92 Å³ per atom
1.0
1.4682 4.3508 0.0670
-1.4682 4.3508 0.0670
0.0000 1.8869 7.5076
Cr La
5 1
direct
0.8339 0.8339 0.2215
0.5000 0.5000 0.0000
0.1710 0.1710 0.1264
0.8290 0.8290 0.8736
0.1661 0.1661 0.7785
0.5000 0.5000 0.5000

=====

2.
GGA-PBE LiLaCr, relaxed; magnetic moment = 3.965 Bohr magnetons per cell; calculated volume = 24.17 Å³ per atom
1.0
4.9578 0.0000 0.0000
-2.4789 4.2935 0.0000
0.0000 0.0000 3.4058
La Cr Li
1 1 1
direct
0.6667 0.3333 0.3333
0.0000 0.0000 0.8329
0.3333 0.6667 0.8338

=====

3.
GGA-PBE LiLa4Cr, relaxed; magnetic moment = 4.976 Bohr magnetons per cell; calculated volume = 33.71 Å³ per atom
1.0
0.0000 4.6589 4.6589
4.6589 0.0000 4.6589
4.6589 4.6589 0.0000
La Cr Li
4 1 1
direct
0.8815 0.3728 0.3728
0.3728 0.8815 0.3728
0.3728 0.3728 0.8815
0.3728 0.3728 0.3728
0.0000 0.0000 0.0000
0.7500 0.7500 0.7500

=====

4.
GGA-PBE LiLaCr4, relaxed; magnetic moment = 0.000 Bohr magnetons per cell; calculated volume = 15.52 Å³ per atom
1.0
-1.9780 -4.4717 -1.4039
-1.6703 -3.2625 3.5279
-4.9887 -0.8502 0.5197
Cr La Li
4 1 1
direct
0.3745 0.3745 0.3745
0.3745 0.8765 0.3745
0.3745 0.3745 0.8765
0.8765 0.3745 0.3745
0.7500 0.7500 0.7500
0.0000 0.0000 0.0000

=====

5.
GGA-PBE LiLaCr, relaxed; magnetic moment = 3.907 Bohr magnetons per cell; calculated volume = 29.49 Å³ per atom
1.0
-2.0216 3.0987 -3.3655
-4.9187 0.9039 0.0703
-1.6989 4.4815 1.4302
Cr La Li
1 1 1
direct
0.5000 0.5000 0.5000
0.7500 0.7500 0.7500
0.0000 0.0000 0.0000

=====

6.
GGA-PBE LiLaCr, relaxed; magnetic moment = 3.460 Bohr magnetons per cell; calculated volume = 25.54 Å³ per atom
1.0
-1.0850 4.2390 -1.8933
-3.4916 0.3457 -3.2280
-4.1020 2.1429 1.1456
Li Cr La
1 1 1
direct
0.7500 0.7500 0.7500
0.0000 0.0000 0.0000
0.5000 0.5000 0.5000

=====

no.,DFT total energy (eV/atom)
1,-8.360
2,-5.048
3,-4.557
4,-6.893
5,-4.483
6,-4.776